Compound: MgTlCoF6
Source: the Alexandria database
Functional: PBE with a Hubbard U
Structure: relaxed

## Properties
The energy is -84.031 eV/cell. As for the symmetry: Imma. For the calculated volume, the calculation gives 14.6 Å³/atom. The density of states at the Fermi level comes out at 0.0 states/eV/cell. Its crystal system is orthorhombic.

Cell: 7.185 7.185 7.185 Å, 120.17 119.89 89.95°
Atoms (fractional coordinates):
Mg: 0.000 0.000 0.000
Mg: 0.500 0.000 0.500
Tl: 0.394 0.644 0.750
Tl: 0.606 0.356 0.250
Co: 0.000 0.000 0.500
Co: 0.000 0.500 0.000
F: 0.063 0.313 0.750
F: 0.063 0.333 0.140
F: 0.063 0.923 0.731
F: 0.308 0.077 0.640
F: 0.308 0.667 0.231
F: 0.330 0.080 0.250
F: 0.670 0.920 0.750
F: 0.692 0.333 0.769
F: 0.692 0.923 0.360
F: 0.937 0.077 0.269
F: 0.937 0.667 0.860
F: 0.937 0.687 0.250